Record 1
DFT (PBE-GGA) results for a relaxed Be2ReNCl crystal.

extended XYZ file:
```
5
Lattice="3.2798 0.0000 0.0000 0.0000 3.2798 0.0000 0.0000 0.0000 5.9876" Properties=species:S:1:pos:R:3 pbc="T T T"
Be 0.0000 1.6399 0.0000
Be 1.6399 0.0000 0.0000
Re 0.0000 0.0000 2.9938
N 1.6399 1.6399 0.0000
Cl 1.6399 1.6399 2.9938
```

- space group = P4/mmm (123)
- total energy (eV/atom) = -5.36
- total moment (μB per atom) = 0.012


Record 2
DFT (PBE-GGA) results for a relaxed Be2ReNCl crystal.

extended XYZ file:
```
5
Lattice="4.5350 0.0000 0.0000 0.0000 4.5350 0.0000 0.0000 0.0000 4.3970" Properties=species:S:1:pos:R:3 pbc="T T T"
Be 0.0000 2.2675 0.0000
Be 2.2675 0.0000 0.0000
Re 0.0000 0.0000 0.0000
N 2.2675 2.2675 2.1985
Cl 0.0000 0.0000 2.1985
```

- space group = P4/mmm (123)
- total energy (eV/atom) = -4.16
- total moment (μB per atom) = 0.490


Record 3
DFT (PBE-GGA) results for a relaxed BeS2NCl crystal.

extended XYZ file:
```
5
Lattice="4.7736 0.0000 0.0000 0.0000 4.7736 0.0000 0.0000 0.0000 3.4096" Properties=species:S:1:pos:R:3 pbc="T T T"
Be 0.0000 0.0000 0.0000
S 0.0000 2.3868 1.7048
S 2.3868 0.0000 1.7048
N 2.3868 2.3868 0.0000
Cl 2.3868 2.3868 1.7048
```

- space group = P4/mmm (123)
- total energy (eV/atom) = -2.57
- total moment (μB per atom) = 0.000


Record 4
DFT (PBE-GGA) results for a relaxed BeS2NCl crystal.

extended XYZ file:
```
5
Lattice="4.8812 0.0000 0.0000 0.0000 4.8812 0.0000 0.0000 0.0000 3.1132" Properties=species:S:1:pos:R:3 pbc="T T T"
Be 0.0000 0.0000 0.0000
S 0.0000 2.4406 1.5566
S 2.4406 0.0000 1.5566
N 0.0000 0.0000 1.5566
Cl 2.4406 2.4406 0.0000
```

- space group = P4/mmm (123)
- total energy (eV/atom) = -3.66
- total moment (μB per atom) = 0.000


Record 5
DFT (PBE-GGA) results for a relaxed BeSNCl2 crystal.

extended XYZ file:
```
5
Lattice="4.1697 0.0000 0.0000 0.0000 4.1697 0.0000 0.0000 0.0000 4.4754" Properties=species:S:1:pos:R:3 pbc="T T T"
Be 0.0000 0.0000 0.0000
S 2.0848 2.0848 0.0000
N 2.0848 2.0848 2.2377
Cl 0.0000 2.0848 2.2377
Cl 2.0848 0.0000 2.2377
```

- space group = P4/mmm (123)
- total energy (eV/atom) = -2.75
- total moment (μB per atom) = 0.000


Record 6
DFT (PBE-GGA) results for a relaxed BeS2NCl crystal.

extended XYZ file:
```
5
Lattice="4.4063 0.0000 0.0000 0.0000 4.4063 0.0000 0.0000 0.0000 4.5196" Properties=species:S:1:pos:R:3 pbc="T T T"
Be 0.0000 0.0000 0.0000
S 0.0000 2.2031 0.0000
S 2.2031 0.0000 0.0000
N 2.2031 2.2031 2.2598
Cl 0.0000 0.0000 2.2598
```

- space group = P4/mmm (123)
- total energy (eV/atom) = -3.19
- total moment (μB per atom) = 0.111


Record 7
DFT (PBE-GGA) results for a relaxed BeS2NCl crystal.

extended XYZ file:
```
5
Lattice="4.8402 0.0000 0.0000 0.0000 4.8402 0.0000 0.0000 0.0000 3.1156" Properties=species:S:1:pos:R:3 pbc="T T T"
Be 0.0000 0.0000 0.0000
S 0.0000 2.4201 0.0000
S 2.4201 0.0000 0.0000
N 0.0000 0.0000 1.5578
Cl 2.4201 2.4201 1.5578
```

- space group = P4/mmm (123)
- total energy (eV/atom) = -3.50
- total moment (μB per atom) = 0.000


Record 8
DFT (PBE-GGA) results for a relaxed BeSNCl2 crystal.

extended XYZ file:
```
5
Lattice="4.4012 0.0000 0.0000 0.0000 4.4012 0.0000 0.0000 0.0000 4.7628" Properties=species:S:1:pos:R:3 pbc="T T T"
Be 0.0000 0.0000 0.0000
S 0.0000 0.0000 2.3814
N 2.2006 2.2006 2.3814
Cl 0.0000 2.2006 0.0000
Cl 2.2006 0.0000 0.0000
```

- space group = P4/mmm (123)
- total energy (eV/atom) = -3.04
- total moment (μB per atom) = 0.215


Record 9
DFT (PBE-GGA) results for a relaxed BeS2NCl crystal.

extended XYZ file:
```
5
Lattice="4.1293 0.0000 0.0000 0.0000 4.1293 0.0000 0.0000 0.0000 4.2069" Properties=species:S:1:pos:R:3 pbc="T T T"
Be 0.0000 0.0000 0.0000
S 0.0000 2.0646 2.1034
S 2.0646 0.0000 2.1034
N 2.0646 2.0646 2.1034
Cl 2.0646 2.0646 0.0000
```

- space group = P4/mmm (123)
- total energy (eV/atom) = -3.14
- total moment (μB per atom) = 0.000


Record 10
DFT (PBE-GGA) results for a relaxed BeSe2NCl crystal.

extended XYZ file:
```
5
Lattice="5.2432 0.0000 0.0000 0.0000 5.2432 0.0000 0.0000 0.0000 3.0468" Properties=species:S:1:pos:R:3 pbc="T T T"
Be 0.0000 0.0000 0.0000
Se 0.0000 2.6216 0.0000
Se 2.6216 0.0000 0.0000
N 0.0000 0.0000 1.5234
Cl 2.6216 2.6216 1.5234
```

- space group = P4/mmm (123)
- total energy (eV/atom) = -3.52
- total moment (μB per atom) = 0.083


Record 11
DFT (PBE-GGA) results for a relaxed BeSe2NCl crystal.

extended XYZ file:
```
5
Lattice="5.2089 0.0000 0.0000 0.0000 5.2089 0.0000 0.0000 0.0000 3.3748" Properties=species:S:1:pos:R:3 pbc="T T T"
Be 0.0000 0.0000 0.0000
Se 0.0000 2.6045 1.6874
Se 2.6045 0.0000 1.6874
N 2.6045 2.6045 0.0000
Cl 2.6045 2.6045 1.6874
```

- space group = P4/mmm (123)
- total energy (eV/atom) = -2.43
- total moment (μB per atom) = 0.000


Record 12
DFT (PBE-GGA) results for a relaxed BeSeN2Cl crystal.

extended XYZ file:
```
5
Lattice="3.5252 0.0000 0.0000 0.0000 3.5252 0.0000 0.0000 0.0000 6.2570" Properties=species:S:1:pos:R:3 pbc="T T T"
Be 0.0000 0.0000 0.0000
Se 0.0000 0.0000 3.1285
N 0.0000 1.7626 0.0000
N 1.7626 0.0000 0.0000
Cl 1.7626 1.7626 3.1285
```

- space group = P4/mmm (123)
- total energy (eV/atom) = -3.86
- total moment (μB per atom) = 0.454


Record 13
DFT (PBE-GGA) results for a relaxed BeSeN2Cl crystal.

extended XYZ file:
```
5
Lattice="3.4554 0.0000 0.0000 0.0000 3.4554 0.0000 0.0000 0.0000 7.6042" Properties=species:S:1:pos:R:3 pbc="T T T"
Be 0.0000 0.0000 0.0000
Se 1.7277 1.7277 0.0000
N 0.0000 1.7277 3.8021
N 1.7277 0.0000 3.8021
Cl 1.7277 1.7277 3.8021
```

- space group = P4/mmm (123)
- total energy (eV/atom) = -3.09
- total moment (μB per atom) = 0.051


Record 14
DFT (PBE-GGA) results for a relaxed NaBeCl2 crystal.

extended XYZ file:
```
4
Lattice="0.0000 3.4055 3.4055 3.4055 0.0000 3.4055 3.4055 3.4055 0.0000" Properties=species:S:1:pos:R:3 pbc="T T T"
Na 0.0000 0.0000 0.0000
Be 3.4055 3.4055 3.4055
Cl 1.7028 1.7028 1.7028
Cl 5.1083 5.1083 5.1083
```

- space group = Fm-3m (225)
- total energy (eV/atom) = -2.57
- total moment (μB per atom) = 0.237


Record 15
DFT (PBE-GGA) results for a relaxed Na3BeCl crystal.

extended XYZ file:
```
5
Lattice="5.2796 0.0000 0.0000 0.0000 5.2796 0.0000 0.0000 0.0000 5.2796" Properties=species:S:1:pos:R:3 pbc="T T T"
Na 0.0000 0.0000 2.6398
Na 0.0000 2.6398 0.0000
Na 2.6398 0.0000 0.0000
Be 2.6398 2.6398 2.6398
Cl 0.0000 0.0000 0.0000
```

- space group = Pm-3m (221)
- total energy (eV/atom) = -1.99
- total moment (μB per atom) = 0.038


no.,E above lowest polymorph (meV per atom)
1,0
2,1196
3,1086
4,0
5,299
6,467
7,161
8,0
9,515
10,0
11,1090
12,0
13,774
14,386
15,0